! La2DyH4 (PBE, relaxed); values from VASP
! E   -30.09 eV per formula unit
! M_tot   0.000 μB/cell
&SYSTEM
  ibrav = 0, nat = 14, ntyp = 3
/
ATOMIC_SPECIES
La 138.91 La.upf
Dy 162.50 Dy.upf
H 1.01 H.upf
ATOMIC_POSITIONS angstrom
La 0.000 0.000 2.239
La 0.000 0.000 11.481
La 2.040 2.040 4.621
La 2.040 2.040 9.099
Dy 0.000 0.000 6.860
Dy 2.040 2.040 0.000
H 0.000 0.000 4.638
H 0.000 0.000 9.082
H 0.000 2.040 0.000
H 0.000 2.040 6.860
H 2.040 0.000 0.000
H 2.040 0.000 6.860
H 2.040 2.040 2.222
H 2.040 2.040 11.499
CELL_PARAMETERS angstrom
4.080 0.000 0.000
0.000 4.080 0.000
0.000 0.000 13.720